A plane-wave DFT calculation with PBE-GGA was carried out for crystalline Al2BiS4 at its relaxed geometry.

Computed properties:
Calculated total energy (eV per cell): -65.0
DOS(E_F) (states/eV per atom): 0.2263
Raw formation energy (eV per formula unit): -4.6
Magnetization (μB/f.u.): 0.00

abc: 6.310 6.310 12.412
angles: 90.00 90.00 146.29
Fractional coordinates of all 14 atoms:
Al: 0.142 0.858 0.559
Al: 0.142 0.858 0.941
Al: 0.858 0.142 0.059
Al: 0.858 0.142 0.441
Bi: 0.409 0.591 0.750
Bi: 0.591 0.409 0.250
S: 0.069 0.931 0.750
S: 0.237 0.763 0.110
S: 0.237 0.763 0.390
S: 0.500 0.500 0.000
S: 0.500 0.500 0.500
S: 0.763 0.237 0.610
S: 0.763 0.237 0.890
S: 0.931 0.069 0.250

=====

A plane-wave DFT calculation with PBE-GGA was carried out for crystalline AlBiS2 at its relaxed geometry.

Computed properties:
Calculated total energy (eV per cell): -72.3
Energy relative to the lowest polymorph listed for this composition (kcal/mol of atoms): 4.73
DOS(E_F) (states/eV per atom): 0.1032
Raw formation energy (eV per formula unit): -2.2
Magnetization (μB/f.u.): 0.00

abc: 5.692 9.674 7.114
angles: 90.00 90.00 90.00
Fractional coordinates of all 16 atoms:
Al: 0.069 0.113 0.000
Al: 0.431 0.613 0.500
Al: 0.569 0.387 0.000
Al: 0.931 0.887 0.500
Bi: 0.047 0.672 0.904
Bi: 0.453 0.172 0.404
Bi: 0.547 0.828 0.904
Bi: 0.953 0.328 0.404
S: 0.004 0.926 0.189
S: 0.031 0.656 0.530
S: 0.469 0.156 0.030
S: 0.496 0.426 0.689
S: 0.504 0.574 0.189
S: 0.531 0.844 0.530
S: 0.969 0.344 0.030
S: 0.996 0.074 0.689

=====

A plane-wave DFT calculation with PBE-GGA was carried out for crystalline AlBiS2 at its relaxed geometry.

Computed properties:
Calculated total energy (eV per cell): -16.1
Energy relative to the lowest polymorph listed for this composition (kcal/mol of atoms): 15.92
DOS(E_F) (states/eV per atom): 0.1731
Raw formation energy (eV per formula unit): -0.3
Magnetization (μB/f.u.): 0.00

abc: 5.670 5.670 5.670
angles: 50.23 50.23 50.23
Fractional coordinates of all 4 atoms:
Al: 0.000 0.000 0.000
Bi: 0.493 0.493 0.493
S: 0.315 0.315 0.315
S: 0.836 0.836 0.836

=====

A plane-wave DFT calculation with PBE-GGA was carried out for crystalline AlBi2S at its relaxed geometry.

Computed properties:
Calculated total energy (eV per cell): -14.7
Energy relative to the lowest polymorph listed for this composition (kcal/mol of atoms): 0.00
DOS(E_F) (states/eV per atom): 0.6779
Raw formation energy (eV per formula unit): 0.9
Magnetization (μB/f.u.): 0.00

abc: 5.157 5.157 5.157
angles: 60.00 60.00 60.00
Fractional coordinates of all 4 atoms:
Al: 0.000 0.000 0.000
Bi: 0.250 0.250 0.250
Bi: 0.750 0.750 0.750
S: 0.500 0.500 0.500